# 1
VASP calculation (GGA-PBE) on crystalline Nd3MgTl at its relaxed geometry.

Output
**Energy relative to the elements**: -0.1822 eV/atom
**Magnetic moment**: 0.00 μB/f.u.
**Total energy**: -3.835 eV/atom

Unit cell a=5.274 b=5.271 c=11.398 alpha=90.00 beta=76.62 gamma=90.00
Atoms (fractional coordinates):
Nd (0.767, 0.250, 0.114)
Nd (0.383, 0.250, 0.882)
Nd (0.574, 0.250, 0.500)
Nd (0.265, 0.750, 0.118)
Nd (0.881, 0.750, 0.886)
Nd (0.074, 0.750, 0.500)
Mg (0.671, 0.750, 0.307)
Mg (0.978, 0.250, 0.693)
Tl (0.479, 0.750, 0.691)
Tl (0.170, 0.250, 0.309)

---

# 2
VASP calculation (GGA-PBE) on crystalline Nd3MgTl3 at its relaxed geometry.

Output
**Energy relative to the elements**: -0.1658 eV/atom
**Magnetic moment**: 0.00 μB/f.u.
**Total energy**: -3.451 eV/atom

Unit cell a=5.572 b=9.333 c=9.333 alpha=120.00 beta=90.00 gamma=90.00
Atoms (fractional coordinates):
Nd (0.750, 0.646, 0.551)
Nd (0.750, 0.449, 0.096)
Nd (0.750, 0.904, 0.354)
Nd (0.250, 0.354, 0.449)
Nd (0.250, 0.551, 0.904)
Nd (0.250, 0.096, 0.646)
Mg (0.250, 0.667, 0.333)
Mg (0.750, 0.333, 0.667)
Tl (0.250, 0.807, 0.754)
Tl (0.250, 0.246, 0.053)
Tl (0.250, 0.947, 0.193)
Tl (0.750, 0.193, 0.246)
Tl (0.750, 0.754, 0.947)
Tl (0.750, 0.053, 0.807)

---

# 3
VASP calculation (GGA-PBE) on crystalline Nd3Mg2Tl at its relaxed geometry.

Output
**Energy relative to the elements**: -0.2091 eV/atom
**Magnetic moment**: 0.00 μB/f.u.
**Total energy**: -3.519 eV/atom

Unit cell a=3.917 b=5.469 c=8.707 alpha=108.30 beta=90.00 gamma=90.00
Atoms (fractional coordinates):
Nd (0.500, 0.500, 0.000)
Nd (0.500, 0.833, 0.667)
Nd (0.500, 0.167, 0.333)
Mg (0.000, 0.329, 0.658)
Mg (0.000, 0.671, 0.342)
Tl (0.000, 0.000, 0.000)

---

# 4
VASP calculation (GGA-PBE) on crystalline NdMgTl at its relaxed geometry.

Output
**Energy relative to the elements**: -0.2876 eV/atom
**Magnetic moment**: 0.00 μB/f.u.
**Total energy**: -3.197 eV/atom

Unit cell a=3.796 b=5.010 c=5.010 alpha=120.00 beta=90.00 gamma=90.00
Atoms (fractional coordinates):
Tl (0.168, 0.333, 0.667)
Nd (0.666, 0.667, 0.333)
Mg (0.166, 0.000, 0.000)

---

# 5
VASP calculation (GGA-PBE) on crystalline NdMg2Tl at its relaxed geometry.

Output
**Energy relative to the elements**: 0.1626 eV/atom
**Magnetic moment**: 0.00 μB/f.u.
**Total energy**: -2.418 eV/atom

Unit cell a=3.366 b=3.366 c=11.702 alpha=81.73 beta=81.73 gamma=60.00
Atoms (fractional coordinates):
Tl (0.500, 0.500, 0.500)
Nd (0.000, 0.000, 0.000)
Mg (0.095, 0.095, 0.716)
Mg (0.905, 0.905, 0.284)

---

# 6
VASP calculation (GGA-PBE) on crystalline Nd2MgTl6 at its relaxed geometry.

Output
**Energy relative to the elements**: -0.1173 eV/atom
**Magnetic moment**: 0.00 μB/f.u.
**Total energy**: -2.931 eV/atom

Unit cell a=3.642 b=8.646 c=9.443 alpha=117.24 beta=90.06 gamma=90.00
Atoms (fractional coordinates):
Nd (0.500, 0.691, 0.381)
Nd (0.500, 0.309, 0.619)
Mg (0.000, 0.000, 0.000)
Tl (0.999, 0.339, 0.314)
Tl (0.001, 0.025, 0.686)
Tl (0.001, 0.661, 0.686)
Tl (0.500, 0.312, 0.000)
Tl (0.999, 0.975, 0.314)
Tl (0.500, 0.688, 0.000)

---

# 7
VASP calculation (GGA-PBE) on crystalline Nd5MgTl3 at its relaxed geometry.

Output
**Energy relative to the elements**: -0.2967 eV/atom
**Magnetic moment**: 0.00 μB/f.u.
**Total energy**: -3.911 eV/atom

Unit cell a=6.783 b=9.645 c=9.645 alpha=120.00 beta=90.00 gamma=90.00
Atoms (fractional coordinates):
Nd (0.000, 0.667, 0.333)
Nd (0.500, 0.333, 0.667)
Nd (0.000, 0.333, 0.667)
Nd (0.500, 0.667, 0.333)
Nd (0.750, 0.695, 0.695)
Nd (0.750, 0.000, 0.305)
Nd (0.750, 0.305, 0.000)
Nd (0.250, 0.305, 0.305)
Nd (0.250, 0.000, 0.695)
Nd (0.250, 0.695, 0.000)
Mg (0.000, 0.000, 0.000)
Mg (0.500, 0.000, 0.000)
Tl (0.750, 0.357, 0.357)
Tl (0.750, 0.000, 0.643)
Tl (0.750, 0.643, 0.000)
Tl (0.250, 0.643, 0.643)
Tl (0.250, 0.000, 0.357)
Tl (0.250, 0.357, 0.000)

---

# 8
VASP calculation (GGA-PBE) on crystalline Nd3Mg4Tl2 at its relaxed geometry.

Output
**Energy relative to the elements**: -0.2342 eV/atom
**Magnetic moment**: 0.00 μB/f.u.
**Total energy**: -3.058 eV/atom

Unit cell a=5.121 b=6.250 c=9.666 alpha=116.54 beta=90.00 gamma=114.18
Atoms (fractional coordinates):
Nd (0.662, 0.325, 0.672)
Nd (0.000, 0.000, 0.000)
Nd (0.338, 0.675, 0.328)
Mg (0.712, 0.424, 0.046)
Mg (0.288, 0.576, 0.954)
Mg (0.925, 0.850, 0.594)
Mg (0.075, 0.150, 0.406)
Tl (0.611, 0.222, 0.275)
Tl (0.389, 0.778, 0.725)

---

# 9
VASP calculation (GGA-PBE) on crystalline Nd12MgTl6 at its relaxed geometry.

Output
**Energy relative to the elements**: -0.1605 eV/atom
**Magnetic moment**: 0.00 μB/f.u.
**Total energy**: -4.003 eV/atom

Unit cell a=9.341 b=9.341 c=9.341 alpha=110.90 beta=110.90 gamma=110.90
Atoms (fractional coordinates):
Nd (0.806, 0.670, 0.529)
Nd (0.529, 0.806, 0.670)
Nd (0.670, 0.529, 0.806)
Nd (0.194, 0.330, 0.471)
Nd (0.471, 0.194, 0.330)
Nd (0.330, 0.471, 0.194)
Nd (0.916, 0.828, 0.272)
Nd (0.172, 0.728, 0.084)
Nd (0.728, 0.084, 0.172)
Nd (0.084, 0.172, 0.728)
Nd (0.828, 0.272, 0.916)
Nd (0.272, 0.916, 0.828)
Mg (0.000, 0.000, 0.000)
Tl (0.636, 0.923, 0.412)
Tl (0.588, 0.364, 0.077)
Tl (0.077, 0.588, 0.364)
Tl (0.364, 0.077, 0.588)
Tl (0.412, 0.636, 0.923)
Tl (0.923, 0.412, 0.636)

---

# 10
VASP calculation (GGA-PBE) on crystalline Nd5MgTl5 at its relaxed geometry.

Output
**Energy relative to the elements**: -0.1497 eV/atom
**Magnetic moment**: 0.00 μB/f.u.
**Total energy**: -3.537 eV/atom

Unit cell a=5.852 b=9.048 c=7.232 alpha=108.97 beta=90.00 gamma=108.87
Atoms (fractional coordinates):
Nd (0.696, 0.393, 0.231)
Nd (0.627, 0.255, 0.681)
Nd (0.000, 0.000, 0.500)
Nd (0.373, 0.745, 0.319)
Nd (0.304, 0.607, 0.769)
Mg (0.000, 0.000, 0.000)
Tl (0.842, 0.683, 0.060)
Tl (0.842, 0.684, 0.627)
Tl (0.500, 0.000, 0.000)
Tl (0.158, 0.316, 0.373)
Tl (0.158, 0.317, 0.940)

---

# 11
VASP calculation (GGA-PBE) on crystalline Nd5Mg2Tl at its relaxed geometry.

Output
**Energy relative to the elements**: -0.1028 eV/atom
**Magnetic moment**: 0.00 μB/f.u.
**Total energy**: -3.777 eV/atom

Unit cell a=6.830 b=6.831 c=6.831 alpha=109.45 beta=109.45 gamma=109.52
Atoms (fractional coordinates):
Nd (0.278, 0.278, 0.500)
Nd (0.278, 0.778, 0.000)
Nd (0.778, 0.278, 0.000)
Nd (0.778, 0.778, 0.500)
Nd (0.277, 0.277, 0.000)
Mg (0.278, 0.778, 0.500)
Mg (0.778, 0.278, 0.500)
Tl (0.779, 0.778, 0.000)

---

# 12
VASP calculation (GGA-PBE) on crystalline NdMg6Tl6 at its relaxed geometry.

Output
**Energy relative to the elements**: -0.1047 eV/atom
**Magnetic moment**: 0.00 μB/f.u.
**Total energy**: -2.300 eV/atom

Unit cell a=6.177 b=7.946 c=7.946 alpha=76.43 beta=67.13 gamma=67.13
Atoms (fractional coordinates):
Nd (0.000, 0.000, 0.000)
Mg (0.000, 0.500, 0.000)
Mg (0.500, 0.500, 0.000)
Mg (0.000, 0.000, 0.500)
Mg (0.500, 0.000, 0.500)
Mg (0.500, 0.755, 0.245)
Mg (0.500, 0.245, 0.755)
Tl (0.337, 0.663, 0.663)
Tl (0.663, 0.337, 0.337)
Tl (0.000, 0.343, 0.657)
Tl (0.000, 0.657, 0.343)
Tl (0.335, 0.165, 0.165)
Tl (0.665, 0.835, 0.835)